# 1
# NaMn3Al

NaMn3Al after structural relaxation (PBE, Alexandria via LeMat-Bulk).

Cell lengths 4.8119, 4.8119, 4.8119 Å; angles 90.00, 90.00, 90.00 degrees
Last column: nearest neighbours and their distance in Å.
Positions (direct):
Na 0.5000 0.5000 0.5000  12 Mn 3.40
Mn 0.0000 0.5000 0.0000  2 Al 2.41
Mn 0.0000 0.0000 0.5000  2 Al 2.41
Mn 0.5000 0.0000 0.0000  2 Al 2.41
Al 0.0000 0.0000 0.0000  6 Mn 2.41

**Fermi-level density of states**: 8.012 states/eV/f.u.
**Distance to the lowest polymorph of the same formula**: 0 meV/atom
**E_form**: 90.1 kJ/mol of atoms


# 2
# NaMnAl11

NaMnAl11 after structural relaxation (PBE, Alexandria via LeMat-Bulk).

Cell lengths 5.2006, 7.0164, 6.9771 Å; angles 82.40, 68.12, 69.23 degrees
Last column: nearest neighbours and their distance in Å.
Positions (direct):
Na 0.0000 0.0000 0.0000  18 Al 3.25-3.51, 2 Mn 3.55
Mn 0.5000 0.5000 0.0000  10 Al 2.58-2.70
Al 0.2956 0.2228 0.2123  1 Mn 2.58, 6 Al 2.67-2.85
Al 0.7044 0.7772 0.7877  1 Mn 2.58, 6 Al 2.67-2.85
Al 0.4921 0.7772 0.2123  1 Mn 2.58, 6 Al 2.67-2.85
Al 0.5079 0.2228 0.7877  1 Mn 2.58, 6 Al 2.67-2.85
Al 0.3625 0.6376 0.6590  1 Mn 2.70, 7 Al 2.74-3.01
Al 0.6375 0.3624 0.3410  1 Mn 2.70, 7 Al 2.74-3.01
Al 0.9785 0.3624 0.6590  1 Mn 2.70, 7 Al 2.74-3.01
Al 0.0215 0.6376 0.3410  1 Mn 2.70, 7 Al 2.74-3.01
Al 0.0000 0.5000 0.0000  2 Mn 2.60, 8 Al 2.67-2.74
Al 0.5000 0.0000 0.5000  8 Al 2.60-2.86
Al 0.0000 0.0000 0.5000  8 Al 2.60-2.86

**Fermi-level density of states**: 5.656 states/eV/f.u.
**E_form**: -2.4 kJ/mol of atoms


Please write out number 1 again, unchanged.
# NaMn3Al

NaMn3Al after structural relaxation (PBE, Alexandria via LeMat-Bulk).

Cell lengths 4.8119, 4.8119, 4.8119 Å; angles 90.00, 90.00, 90.00 degrees
Last column: nearest neighbours and their distance in Å.
Positions (direct):
Na 0.5000 0.5000 0.5000  12 Mn 3.40
Mn 0.0000 0.5000 0.0000  2 Al 2.41
Mn 0.0000 0.0000 0.5000  2 Al 2.41
Mn 0.5000 0.0000 0.0000  2 Al 2.41
Al 0.0000 0.0000 0.0000  6 Mn 2.41

**Fermi-level density of states**: 8.012 states/eV/f.u.
**Distance to the lowest polymorph of the same formula**: 0 meV/atom
**E_form**: 90.1 kJ/mol of atoms